i.
A plane-wave DFT calculation with PBE was carried out for an optimized crystal structure of CsK2Sn.

```
CsK2Sn
1.0
9.040 0.000 0.000
0.000 9.040 0.000
0.000 0.000 9.040
Cs K Sn
4 8 4
direct
0.000 0.000 0.000
0.000 0.500 0.500
0.500 0.000 0.500
0.500 0.500 0.000
0.250 0.250 0.250
0.250 0.250 0.750
0.250 0.750 0.250
0.250 0.750 0.750
0.750 0.250 0.250
0.750 0.250 0.750
0.750 0.750 0.250
0.750 0.750 0.750
0.000 0.000 0.500
0.000 0.500 0.000
0.500 0.000 0.000
0.500 0.500 0.500
```

Values from the calculation:
symmetry = Fm-3m, No. 225

ii.
A plane-wave DFT calculation with PBE was carried out for an optimized crystal structure of CsK2Sn.

```
CsK2Sn
1.0
4.185 0.000 0.000
-2.093 3.625 0.000
0.000 0.000 46.990
Cs K Sn
3 6 3
direct
0.000 0.000 0.000
0.333 0.667 0.667
0.667 0.333 0.333
0.000 0.000 0.426
0.000 0.000 0.574
0.333 0.667 0.093
0.333 0.667 0.240
0.667 0.333 0.760
0.667 0.333 0.907
0.000 0.000 0.500
0.333 0.667 0.167
0.667 0.333 0.833
```

Values from the calculation:
symmetry = R-3m, No. 166

Quick one: least stable of them? ii

i.
A plane-wave DFT calculation with PBE was carried out for an optimized crystal structure of Cs2KSn2.

```
Cs2KSn2
1.0
9.556 0.000 0.000
0.000 9.556 0.000
0.000 0.000 5.954
Cs K Sn
4 2 4
direct
0.183 0.317 0.000
0.317 0.817 0.000
0.683 0.183 0.000
0.817 0.683 0.000
0.000 0.000 0.500
0.500 0.500 0.500
0.101 0.601 0.500
0.399 0.101 0.500
0.601 0.899 0.500
0.899 0.399 0.500
```

Values from the calculation:
symmetry = P4/mbm, No. 127

ii.
A plane-wave DFT calculation with PBE was carried out for an optimized crystal structure of Cs2KSn2.

```
Cs2KSn2
1.0
11.278 0.000 0.000
0.000 11.278 0.000
0.000 0.000 3.827
Cs K Sn
4 2 4
direct
0.197 0.303 0.000
0.303 0.803 0.000
0.697 0.197 0.000
0.803 0.697 0.000
0.000 0.000 0.000
0.500 0.500 0.000
0.092 0.592 0.500
0.408 0.092 0.500
0.592 0.908 0.500
0.908 0.408 0.500
```

Values from the calculation:
symmetry = P4/mbm, No. 127

iii.
A plane-wave DFT calculation with PBE was carried out for an optimized crystal structure of Cs2KSn2.

```
Cs2KSn2
1.0
6.833 -3.722 0.000
6.833 3.722 0.000
-2.412 0.000 10.569
Cs K Sn
4 2 4
direct
0.039 0.670 0.866
0.330 0.961 0.634
0.670 0.039 0.366
0.961 0.330 0.134
0.374 0.626 0.250
0.626 0.374 0.750
0.155 0.535 0.507
0.465 0.845 0.993
0.535 0.155 0.007
0.845 0.465 0.493
```

Values from the calculation:
symmetry = C2/c, No. 15

Quick one: least stable of them? ii

i.
A plane-wave DFT calculation with PBE was carried out for an optimized crystal structure of Cs3KSn.

```
Cs3KSn
1.0
7.662 0.000 0.000
0.000 7.662 0.000
0.000 0.000 7.662
Cs K Sn
3 1 1
direct
0.000 0.000 0.500
0.000 0.500 0.000
0.500 0.000 0.000
0.500 0.500 0.500
0.000 0.000 0.000
```

Values from the calculation:
symmetry = Pm-3m, No. 221

ii.
A plane-wave DFT calculation with PBE was carried out for an optimized crystal structure of Cs3KSn.

```
Cs3KSn
1.0
7.926 0.000 0.000
0.000 7.926 0.000
0.000 0.000 7.926
Cs K Sn
3 1 1
direct
0.000 0.000 0.500
0.000 0.500 0.000
0.500 0.000 0.000
0.000 0.000 0.000
0.500 0.500 0.500
```

Values from the calculation:
symmetry = Pm-3m, No. 221

Quick one: least stable of them? ii

i.
A plane-wave DFT calculation with PBE was carried out for an optimized crystal structure of CsK2ZnSn.

```
CsK2ZnSn
1.0
7.022 0.000 0.000
0.000 7.022 0.000
0.000 0.000 5.287
Cs K Zn Sn
1 2 1 1
direct
0.000 0.000 0.000
0.000 0.500 0.500
0.500 0.000 0.500
0.500 0.500 0.000
0.500 0.500 0.500
```

Values from the calculation:
symmetry = P4/mmm, No. 123

ii.
A plane-wave DFT calculation with PBE was carried out for an optimized crystal structure of CsK2ZnSn.

```
CsK2ZnSn
1.0
6.656 0.000 0.000
0.000 6.656 0.000
0.000 0.000 5.233
Cs K Zn Sn
1 2 1 1
direct
0.000 0.000 0.000
0.000 0.500 0.500
0.500 0.000 0.500
0.500 0.500 0.500
0.500 0.500 0.000
```

Values from the calculation:
symmetry = P4/mmm, No. 123

Quick one: least stable of them? i

i.
A plane-wave DFT calculation with PBE was carried out for an optimized crystal structure of CsK2Sr.

```
CsK2Sr
1.0
7.698 0.000 0.000
0.000 7.698 0.000
0.000 0.000 4.963
Cs K Sr
1 2 1
direct
0.000 0.000 0.000
0.000 0.500 0.500
0.500 0.000 0.500
0.500 0.500 0.000
```

Values from the calculation:
symmetry = P4/mmm, No. 123

ii.
A plane-wave DFT calculation with PBE was carried out for an optimized crystal structure of CsK2Sr.

```
CsK2Sr
1.0
4.654 0.000 0.000
-2.327 4.031 0.000
0.000 0.000 47.638
Cs K Sr
3 6 3
direct
0.000 0.000 0.000
0.333 0.667 0.667
0.667 0.333 0.333
0.000 0.000 0.577
0.000 0.000 0.757
0.333 0.667 0.243
0.333 0.667 0.424
0.667 0.333 0.090
0.667 0.333 0.910
0.000 0.000 0.167
0.333 0.667 0.834
0.667 0.333 0.500
```

Values from the calculation:
symmetry = R3m, No. 160

iii.
A plane-wave DFT calculation with PBE was carried out for an optimized crystal structure of CsK2Sr.

```
CsK2Sr
1.0
10.606 0.000 0.000
0.000 10.606 0.000
0.000 0.000 10.606
Cs K Sr
4 8 4
direct
0.000 0.000 0.000
0.000 0.500 0.500
0.500 0.000 0.500
0.500 0.500 0.000
0.250 0.250 0.250
0.250 0.250 0.750
0.250 0.750 0.250
0.250 0.750 0.750
0.750 0.250 0.250
0.750 0.250 0.750
0.750 0.750 0.250
0.750 0.750 0.750
0.000 0.000 0.500
0.000 0.500 0.000
0.500 0.000 0.000
0.500 0.500 0.500
```

Values from the calculation:
symmetry = Fm-3m, No. 225

iv.
A plane-wave DFT calculation with PBE was carried out for an optimized crystal structure of CsK2Sr.

```
CsK2Sr
1.0
4.548 0.000 0.000
-2.274 3.939 0.000
0.000 0.000 51.152
Cs K Sr
3 6 3
direct
0.000 0.000 0.000
0.333 0.667 0.667
0.667 0.333 0.333
0.000 0.000 0.418
0.000 0.000 0.582
0.333 0.667 0.084
0.333 0.667 0.249
0.667 0.333 0.751
0.667 0.333 0.916
0.000 0.000 0.500
0.333 0.667 0.167
0.667 0.333 0.833
```

Values from the calculation:
symmetry = R-3m, No. 166

Quick one: least stable of them? iv

i.
A plane-wave DFT calculation with PBE was carried out for an optimized crystal structure of CsKSr.

```
CsKSr
1.0
23.875 0.000 0.000
0.000 4.653 0.000
0.000 0.000 7.983
Cs K Sr
4 4 4
direct
0.178 0.000 0.000
0.178 0.500 0.500
0.822 0.000 0.000
0.822 0.500 0.500
0.000 0.000 0.649
0.000 0.500 0.149
0.500 0.000 0.998
0.500 0.500 0.498
0.345 0.000 0.659
0.345 0.500 0.159
0.655 0.000 0.659
0.655 0.500 0.159
```

Values from the calculation:
symmetry = Amm2, No. 38

ii.
A plane-wave DFT calculation with PBE was carried out for an optimized crystal structure of CsKSr.

```
CsKSr
1.0
4.580 0.000 0.000
0.000 4.580 0.000
0.000 0.000 21.585
Cs K Sr
2 2 2
direct
0.000 0.000 0.000
0.500 0.500 0.500
0.000 0.000 0.683
0.500 0.500 0.183
0.000 0.000 0.330
0.500 0.500 0.830
```

Values from the calculation:
symmetry = I4mm, No. 107

Quick one: least stable of them? ii

i.
A plane-wave DFT calculation with PBE was carried out for an optimized crystal structure of Cs2K2Sr.

```
Cs2K2Sr
1.0
6.442 0.000 0.000
0.000 6.442 0.000
0.000 0.000 20.955
Cs K Sr
4 4 2
direct
0.000 0.500 0.250
0.000 0.500 0.750
0.500 0.000 0.250
0.500 0.000 0.750
0.000 0.000 0.089
0.000 0.000 0.911
0.500 0.500 0.411
0.500 0.500 0.589
0.000 0.000 0.500
0.500 0.500 0.000
```

Values from the calculation:
symmetry = I4/mmm, No. 139

ii.
A plane-wave DFT calculation with PBE was carried out for an optimized crystal structure of Cs2K2Sr.

```
Cs2K2Sr
1.0
12.831 0.000 0.000
0.000 12.831 0.000
0.000 0.000 4.987
Cs K Sr
4 4 2
direct
0.136 0.364 0.000
0.364 0.864 0.000
0.636 0.136 0.000
0.864 0.636 0.000
0.168 0.668 0.500
0.332 0.168 0.500
0.668 0.832 0.500
0.832 0.332 0.500
0.000 0.000 0.000
0.500 0.500 0.000
```

Values from the calculation:
symmetry = P4/mbm, No. 127

Quick one: least stable of them? i

i.
A plane-wave DFT calculation with PBE was carried out for an optimized crystal structure of CsKSr2Tl.

```
CsKSr2Tl
1.0
6.618 0.000 0.000
0.000 6.618 0.000
0.000 0.000 7.188
Cs K Sr Tl
1 1 2 1
direct
0.000 0.000 0.000
0.500 0.500 0.000
0.000 0.500 0.500
0.500 0.000 0.500
0.500 0.500 0.500
```

Values from the calculation:
symmetry = P4/mmm, No. 123

ii.
A plane-wave DFT calculation with PBE was carried out for an optimized crystal structure of CsKSr2Tl.

```
CsKSr2Tl
1.0
6.655 0.000 0.000
0.000 6.655 0.000
0.000 0.000 7.341
Cs K Sr Tl
1 1 2 1
direct
0.000 0.000 0.000
0.500 0.500 0.000
0.000 0.500 0.500
0.500 0.000 0.500
0.000 0.000 0.500
```

Values from the calculation:
symmetry = P4/mmm, No. 123

Quick one: least stable of them? ii